Density functional theory data (PBE) for TbLu2Pb after structural relaxation.

Properties
- space-group type = No. 123
- M_tot (μB/cell) = 0.33
- crystal system = tetragonal
- total DFT energy (no corrections) (eV per atom) = -4.59

Cell: 4.8156 4.8156 4.7893 Å, 90.00 90.00 90.00°
Closest atoms and distances in Å follow each position.
Fractional positions:
Tb1 0.0000 0.0000 0.0000  8 Lu 3.40, 4 Pb 3.41
Lu1 0.0000 0.5000 0.5000  4 Tb 3.40, 4 Pb 3.40, 4 Lu 3.41
Lu2 0.5000 0.0000 0.5000  4 Tb 3.40, 4 Pb 3.40, 4 Lu 3.41
Pb1 0.5000 0.5000 0.0000  8 Lu 3.40, 4 Tb 3.41